# Y2ScPb2 (SCAN, single point on PBEsol structure)
data_Y2ScPb2
_cell_length_a 7.775
_cell_length_b 7.775
_cell_length_c 4.442
_cell_angle_alpha 90.00
_cell_angle_beta 90.00
_cell_angle_gamma 90.00
_symmetry_space_group_name_H-M 'P 4/m b m'
_symmetry_Int_Tables_number 127
_symmetry_space_group_name_Hall '-P 4 2ab'
loop_
_atom_site_label
_atom_site_fract_x
_atom_site_fract_y
_atom_site_fract_z
Y1 0.168 0.332 0.000
Sc1 0.000 0.000 0.500
Pb1 0.140 0.640 0.500
# Fermi-level density of states in states/eV/f.u.: 3.75
# Total magnetization in μB/f.u.: 0.00
# E_tot in Ry/atom: -3.311
# Relative energy among the computed polymorphs in meV/atom: 0.0
# DFT formation energy in meV/atom: -752
# Density in g/cm3: 7.88

---

# YSc2Pb (SCAN, single point on PBEsol structure)
data_YSc2Pb
_cell_length_a 4.602
_cell_length_b 4.602
_cell_length_c 4.583
_cell_angle_alpha 90.00
_cell_angle_beta 90.00
_cell_angle_gamma 90.00
_symmetry_space_group_name_H-M 'P 4/m m m'
_symmetry_Int_Tables_number 123
_symmetry_space_group_name_Hall '-P 4 2'
loop_
_atom_site_label
_atom_site_fract_x
_atom_site_fract_y
_atom_site_fract_z
Y1 0.000 0.000 0.000
Sc1 0.000 0.500 0.500
Pb1 0.500 0.500 0.000
# Fermi-level density of states in states/eV/f.u.: 2.96
# Total magnetization in μB/f.u.: 2.46
# E_tot in Ry/atom: -2.459
# DFT formation energy in meV/atom: -433
# Density in g/cm3: 6.61

---

# YSc2Pb (SCAN, single point on PBEsol structure)
data_YSc2Pb
_cell_length_a 3.3892
_cell_length_b 3.3892
_cell_length_c 31.1139
_cell_angle_alpha 90.00
_cell_angle_beta 90.00
_cell_angle_gamma 120.00
_symmetry_space_group_name_H-M 'R 3 m'
_symmetry_Int_Tables_number 160
_symmetry_space_group_name_Hall 'R 3 -2"'
loop_
_atom_site_label
_atom_site_fract_x
_atom_site_fract_y
_atom_site_fract_z
Y1 0.0000 0.0000 0.0000
Sc1 0.0000 0.0000 0.2468
Sc2 0.0000 0.0000 0.4996
Pb1 0.0000 0.0000 0.7528
# Fermi-level density of states in states/eV/f.u.: 2.25
# Total magnetization in μB/f.u.: 0.01
# E_tot in Ry/atom: -2.442
# DFT formation energy in meV/atom: -197
# Density in g/cm3: 6.21

---

# YSc2Pb (SCAN, single point on PBEsol structure)
data_YSc2Pb
_cell_length_a 4.418
_cell_length_b 4.418
_cell_length_c 9.972
_cell_angle_alpha 90.00
_cell_angle_beta 90.00
_cell_angle_gamma 90.00
_symmetry_space_group_name_H-M 'I -4 m 2'
_symmetry_Int_Tables_number 119
_symmetry_space_group_name_Hall 'I -4 -2'
loop_
_atom_site_label
_atom_site_fract_x
_atom_site_fract_y
_atom_site_fract_z
Y1 0.000 0.000 0.000
Sc1 0.000 0.000 0.500
Sc2 0.000 0.500 0.750
Pb1 0.000 0.500 0.250
# Fermi-level density of states in states/eV/f.u.: 3.55
# Total magnetization in μB/f.u.: 0.88
# E_tot in Ry/atom: -2.458
# DFT formation energy in meV/atom: -414
# Density in g/cm3: 6.59

---

# YScPb2 (SCAN, single point on PBEsol structure)
data_YScPb2
_cell_length_a 4.834
_cell_length_b 4.834
_cell_length_c 4.306
_cell_angle_alpha 90.00
_cell_angle_beta 90.00
_cell_angle_gamma 90.00
_symmetry_space_group_name_H-M 'P 4/m m m'
_symmetry_Int_Tables_number 123
_symmetry_space_group_name_Hall '-P 4 2'
loop_
_atom_site_label
_atom_site_fract_x
_atom_site_fract_y
_atom_site_fract_z
Y1 0.000 0.000 0.000
Sc1 0.500 0.500 0.000
Pb1 0.000 0.500 0.500
# Fermi-level density of states in states/eV/f.u.: 2.77
# Total magnetization in μB/f.u.: 1.18
# E_tot in Ry/atom: -3.603
# DFT formation energy in meV/atom: -605
# Density in g/cm3: 9.05

---

# Y3ScPb (SCAN, single point on PBEsol structure)
data_Y3ScPb
_cell_length_a 5.343
_cell_length_b 5.343
_cell_length_c 5.343
_cell_angle_alpha 90.00
_cell_angle_beta 90.00
_cell_angle_gamma 90.00
_symmetry_space_group_name_H-M 'P m -3 m'
_symmetry_Int_Tables_number 221
_symmetry_space_group_name_Hall '-P 4 2 3'
loop_
_atom_site_label
_atom_site_fract_x
_atom_site_fract_y
_atom_site_fract_z
Y1 0.000 0.000 0.500
Sc1 0.000 0.000 0.000
Pb1 0.500 0.500 0.500
# Fermi-level density of states in states/eV/f.u.: 4.15
# Total magnetization in μB/f.u.: 0.00
# E_tot in Ry/atom: -2.514
# DFT formation energy in meV/atom: 511
# Density in g/cm3: 5.65

---

Please write out number 5 again, unchanged.
# YScPb2 (SCAN, single point on PBEsol structure)
data_YScPb2
_cell_length_a 4.834
_cell_length_b 4.834
_cell_length_c 4.306
_cell_angle_alpha 90.00
_cell_angle_beta 90.00
_cell_angle_gamma 90.00
_symmetry_space_group_name_H-M 'P 4/m m m'
_symmetry_Int_Tables_number 123
_symmetry_space_group_name_Hall '-P 4 2'
loop_
_atom_site_label
_atom_site_fract_x
_atom_site_fract_y
_atom_site_fract_z
Y1 0.000 0.000 0.000
Sc1 0.500 0.500 0.000
Pb1 0.000 0.500 0.500
# Fermi-level density of states in states/eV/f.u.: 2.77
# Total magnetization in μB/f.u.: 1.18
# E_tot in Ry/atom: -3.603
# DFT formation energy in meV/atom: -605
# Density in g/cm3: 9.05